This record from the Alexandria database describes crystalline LaBe3Ni at its relaxed geometry. The functional is GGA-PBE.

The space group is Pm-3m (No. 221) and the conventional cell measures 4.839, 4.839 and 4.839 Å, with angles of 90.00, 90.00 and 90.00 degrees. The asymmetric unit holds La at (0.000, 0.000, 0.000), Be at (0.000, 0.000, 0.500) and Ni at (0.500, 0.500, 0.500).

The value obtained for the final energy is -10.21 eV/cell. The value obtained for the density of states at the Fermi level is 3.206 states/eV per cell. The value obtained for the excess energy over the best structure of this formula in the dataset is 2395 meV/atom. The value obtained for the formation enthalpy at 0 K is 2.335 eV/atom.